A relaxed Na2NiRh2O6 crystal, computed with GGA+U.

## Properties
* calculated density: 5.10 g/cm³
* calculated total energy: -5.58 eV/atom
* magnetic moment: 4.080 μB/cell
* space group: C2/m (12)

Lattice parameters (Å, degrees): 5.3127 5.3127 5.6862 98.48 98.48 120.22
Last column: nearest neighbours and their distance in Å.
Sites, in units of the cell vectors:
Na: 0.1637 0.8363 0.0000  6 O 2.41-2.42
Na: 0.8363 0.1637 0.0000  6 O 2.41-2.42
Ni: 0.0000 0.0000 0.5000  6 O 2.08-2.12
Rh: 0.3363 0.6637 0.5000  6 O 2.03-2.04
Rh: 0.6637 0.3363 0.5000  6 O 2.03-2.04
O: 0.0560 0.4059 0.6920  2 Rh 2.03-2.04, 1 Ni 2.12
O: 0.2743 0.2743 0.3030  2 Rh 2.04, 1 Ni 2.08
O: 0.4059 0.0560 0.6920  2 Rh 2.03-2.04, 1 Ni 2.12
O: 0.5941 0.9440 0.3080  2 Rh 2.03-2.04, 1 Ni 2.12
O: 0.7257 0.7257 0.6970  2 Rh 2.04, 1 Ni 2.08
O: 0.9440 0.5941 0.3080  2 Rh 2.03-2.04, 1 Ni 2.12